Entry 1:
Here is an optimized crystal structure of YZnGe2Ir from Alexandria via LeMat-Bulk. Energies are from PBE.

The structure belongs to space group I-4m2 (No. 119); the cell edges are 4.057, 4.057 and 10.925 Å and the angles 90.00°, 90.00° and 90.00°. The inequivalent atoms are Y at (0.000, 0.000, 0.000), Zn at (0.000, 0.500, 0.750), Ge at (0.000, 0.000, 0.387) and Ir at (0.000, 0.500, 0.250).

Entry 2:
Here is an optimized crystal structure of Yb4Ge6Ir7 from Alexandria via LeMat-Bulk. Energies are from PBE.

The structure belongs to space group Im-3m (No. 229); the cell edges are 8.393, 8.393 and 8.393 Å and the angles 90.00°, 90.00° and 90.00°. The inequivalent atoms are Yb at (0.250, 0.250, 0.250), Ge at (0.000, 0.000, 0.318), Ir at (0.000, 0.000, 0.000) and Ir at (0.000, 0.250, 0.500).

Number 1: formation energy from the elements -0.5499 eV/atom, VASP energy -57.166 eV per cell. Number 2: formation energy from the elements -0.6867 eV/atom, VASP energy -215.018 eV per cell.